No. 1
First-principles (PBE) data for a relaxed Ce2Al2ReSi4 crystal, as listed in Alexandria via LeMat-Bulk.

```
data_Ce2Al2ReSi4
_space_group_name_H-M_alt 'I 4/m m m'
_space_group_IT_number 139
_space_group_name_Hall '-I 4 2'
_cell_length_a 6.087
_cell_length_b 6.087
_cell_length_c 8.695
_cell_angle_alpha 90.00
_cell_angle_beta 90.00
_cell_angle_gamma 90.00
loop_
_atom_site_label
_atom_site_fract_x
_atom_site_fract_y
_atom_site_fract_z
Ce1 0.000 0.500 0.250
Al1 0.000 0.000 0.210
Re1 0.000 0.000 0.500
Si1 0.214 0.214 0.000
```

size of the total moment: 0.0 μB per formula unit
calculated density: 6.52 g/cm3
raw formation energy: -0.51 eV per atom

No. 2
First-principles (PBE) data for a relaxed CeAl2Rh crystal, as listed in Alexandria via LeMat-Bulk.

```
data_CeAl2Rh
_space_group_name_H-M_alt 'P 4/m m m'
_space_group_IT_number 123
_space_group_name_Hall '-P 4 2'
_cell_length_a 3.054
_cell_length_b 3.054
_cell_length_c 7.596
_cell_angle_alpha 90.00
_cell_angle_beta 90.00
_cell_angle_gamma 90.00
loop_
_atom_site_label
_atom_site_fract_x
_atom_site_fract_y
_atom_site_fract_z
Ce1 0.000 0.000 0.000
Al1 0.500 0.500 0.309
Rh1 0.000 0.000 0.500
```

size of the total moment: 0.0 μB per formula unit
calculated density: 6.96 g/cm3
E_form: -0.68 eV per atom